1.
A plane-wave DFT calculation with PBE was carried out for YZr2Ti2 after structural relaxation.

Cell and atoms, written as POSCAR:
```
YZr2Ti2
1.0
-3.3639 -0.1855 2.2808
2.1718 -1.5365 3.0782
0.6460 5.6206 5.0385
Y Zr Ti
1 2 2
Cartesian
0.0000 0.0000 0.0000
-0.3429 0.4602 3.1604
-0.2032 3.4383 7.2372
-1.6570 2.2870 4.9994
1.1109 1.6115 5.3981
```

Calculated values
Volume in Å³ per atom: 23.2
ΔE to the lowest computed polymorph in eV/f.u.: 1.17
D(E_F) in states/eV per cell: 10.5

***

2.
A plane-wave DFT calculation with PBE was carried out for Ti3Zn after structural relaxation.

Cell and atoms, written as POSCAR:
```
Ti3Zn
1.0
2.8211 0.0000 0.0000
0.0000 4.7158 0.0000
0.0000 0.0000 4.9596
Zn Ti
1 3
Cartesian
0.0000 2.3579 1.6366
0.0000 0.0000 4.9439
1.4106 0.0000 2.4603
1.4106 2.3579 4.1847
```

Calculated values
Volume in Å³ per atom: 16.5
D(E_F) in states/eV per cell: 4.2

***

3.
A plane-wave DFT calculation with PBE was carried out for Ti2Zn5 after structural relaxation.

Cell and atoms, written as POSCAR:
```
Ti2Zn5
1.0
5.6066 0.0121 0.0123
-0.0172 5.4574 2.4657
-0.0164 0.0616 7.1365
Ti Zn
4 10
Cartesian
2.7850 1.6435 6.4478
-0.0046 0.5202 1.6418
2.7880 3.8875 3.1667
5.5776 5.0109 7.9727
2.7976 0.7212 1.9698
5.5875 2.0200 6.3879
1.3806 4.0805 5.5217
1.3890 1.4433 4.0861
4.1924 1.4505 4.0928
4.1840 4.0878 5.5283
-0.0145 3.5111 3.2266
2.7754 4.8098 7.6447
4.1963 2.7379 1.2421
1.3930 2.7316 1.2359
```

Calculated values
Volume in Å³ per atom: 15.5
D(E_F) in states/eV per cell: 9.7

***

4.
A plane-wave DFT calculation with PBE was carried out for TiZn4 after structural relaxation.

Cell and atoms, written as POSCAR:
```
TiZn4
1.0
-1.4018 0.9522 -4.7969
4.2378 -2.2542 -1.6859
-2.4410 -4.4603 -0.1720
Zn Ti
4 1
Cartesian
0.0000 0.0000 0.0000
-1.9214 -1.7540 -2.4845
0.8984 -3.3572 -0.9289
1.4180 -0.6510 -3.2414
0.1975 -2.8811 -3.3274
```

Calculated values
Volume in Å³ per atom: 26.3
ΔE to the lowest computed polymorph in eV/f.u.: 5.23
D(E_F) in states/eV per cell: 4.5

***

5.
A plane-wave DFT calculation with PBE was carried out for Ti5Zn after structural relaxation.

Cell and atoms, written as POSCAR:
```
Ti5Zn
1.0
4.3899 0.0000 0.0000
-2.1950 4.6126 -1.8415
0.0000 -1.2688 5.5044
Ti Zn
5 1
Cartesian
2.1950 4.4567 -1.2308
2.1950 1.4636 0.9746
0.0000 2.5140 2.6179
0.0000 3.1303 -0.0380
0.0000 -0.5133 3.4305
2.1950 0.7292 3.7032
```

Calculated values
Volume in Å³ per atom: 16.9
ΔE to the lowest computed polymorph in eV/f.u.: 0.28
D(E_F) in states/eV per cell: 7.2

***

6.
A plane-wave DFT calculation with PBE was carried out for Ti8Zn after structural relaxation.

Cell and atoms, written as POSCAR:
```
Ti8Zn
1.0
3.9841 0.0000 0.0000
1.9920 6.1776 0.0000
1.9920 0.0000 6.1776
Ti Zn
8 1
Cartesian
1.9921 0.0000 2.0686
3.9841 0.0000 4.1091
3.9841 2.0692 2.0692
1.9920 2.0686 0.0000
1.9920 2.0692 4.1085
3.9841 4.1091 0.0000
3.9841 4.1085 4.1085
1.9920 4.1085 2.0692
0.0000 0.0000 0.0000
```

Calculated values
Volume in Å³ per atom: 16.9
D(E_F) in states/eV per cell: 11.5

***

7.
A plane-wave DFT calculation with PBE was carried out for Ti5Zn after structural relaxation.

Cell and atoms, written as POSCAR:
```
Ti5Zn
1.0
4.6595 0.0000 0.0000
0.0000 4.9890 0.0000
0.0000 -2.4945 4.3206
Ti Zn
5 1
Cartesian
0.0000 1.5972 0.0000
0.0000 -0.7986 1.3832
0.0000 1.6959 2.9374
2.3297 2.4945 1.4402
2.3297 0.0000 2.8804
2.3297 0.0000 0.0000
```

Calculated values
Volume in Å³ per atom: 16.7
ΔE to the lowest computed polymorph in eV/f.u.: 0.10
D(E_F) in states/eV per cell: 5.5

***

8.
A plane-wave DFT calculation with PBE was carried out for Ti3Zn4 after structural relaxation.

Cell and atoms, written as POSCAR:
```
Ti3Zn4
1.0
5.4568 0.0000 0.0000
-1.8189 6.7626 0.0000
-1.8189 -3.3813 5.8566
Ti Zn
6 8
Cartesian
-1.8354 1.0035 4.9969
-0.0165 -1.4479 4.2272
1.8025 0.4444 2.4891
3.6543 2.3778 0.8597
1.8354 4.8292 1.6294
0.0165 2.9369 3.3675
2.7284 0.0000 0.0000
0.0000 0.0000 0.0000
2.7092 2.9143 3.3658
0.8903 2.3906 0.8410
-0.9287 4.8390 1.6498
-0.8903 0.4670 2.4908
0.9287 0.9907 5.0156
2.7476 -1.4577 4.2068
```

Calculated values
Volume in Å³ per atom: 15.4
ΔE to the lowest computed polymorph in eV/f.u.: 0.00
D(E_F) in states/eV per cell: 10.6

***

9.
A plane-wave DFT calculation with PBE was carried out for TiZn4 after structural relaxation.

Cell and atoms, written as POSCAR:
```
TiZn4
1.0
3.9972 0.0000 -1.1675
-0.6264 5.1517 -2.1447
-0.0226 -0.0037 7.3492
Ti Zn
2 8
Cartesian
3.4630 0.7351 4.4300
-0.1148 4.4130 -0.3930
0.2056 1.8481 0.7038
3.1427 3.2999 3.3332
1.9986 0.0000 -0.5838
1.6854 2.5759 -1.6561
2.6614 0.9856 1.6856
0.6868 4.1624 2.3514
1.0081 1.5197 3.4515
2.3401 3.6283 0.5855
```

Calculated values
Volume in Å³ per atom: 15.1
ΔE to the lowest computed polymorph in eV/f.u.: 0.00
D(E_F) in states/eV per cell: 6.7

***

10.
A plane-wave DFT calculation with PBE was carried out for Ti7Zn2 after structural relaxation.

Cell and atoms, written as POSCAR:
```
Ti7Zn2
1.0
5.0486 0.0000 0.0000
-2.5243 4.3722 0.0000
0.0000 0.0000 6.8880
Ti Zn
7 2
Cartesian
0.0000 0.0000 0.0000
3.3476 0.0000 2.3249
-1.6738 2.8991 2.3249
0.8505 1.4731 2.3249
-0.8505 1.4731 4.5631
1.7009 0.0000 4.5631
1.6738 2.8991 4.5631
0.0000 2.9148 0.0000
2.5243 1.4574 0.0000
```

Calculated values
Volume in Å³ per atom: 16.9
D(E_F) in states/eV per cell: 9.0

***

11.
A plane-wave DFT calculation with PBE was carried out for Ti2Zn after structural relaxation.

Cell and atoms, written as POSCAR:
```
Ti2Zn
1.0
-3.4301 2.5084 0.4483
-0.9741 -0.5961 -4.1176
0.5271 -3.3737 2.5809
Ti Zn
2 1
Cartesian
-2.5518 0.0449 0.5971
-1.3253 -1.5063 -1.6856
0.0000 0.0000 0.0000
```

Calculated values
Volume in Å³ per atom: 18.5
D(E_F) in states/eV per cell: 4.8

***

12.
A plane-wave DFT calculation with PBE was carried out for TiZn11 after structural relaxation.

Cell and atoms, written as POSCAR:
```
TiZn11
1.0
-4.0468 4.0273 -3.6072
-6.9129 2.0340 3.7045
1.2722 7.9259 1.1000
Ti Zn
2 22
Cartesian
-2.0234 2.0137 -1.8036
-3.8320 5.9868 1.5005
-6.8852 6.6976 1.9676
-3.1805 7.6660 -1.1073
0.0000 0.0000 0.0000
-5.8555 8.0005 -0.3031
-5.7481 8.9802 2.2507
-8.4076 7.0309 -0.1029
-4.3150 9.9769 -1.4051
-4.9511 6.0139 -1.9551
-3.5628 9.0891 0.9104
-7.5597 12.6712 -0.0889
-4.5294 3.7060 -0.8544
-6.5028 5.2745 -0.0501
-6.0199 10.7298 0.3584
-3.2895 2.8811 1.1760
-1.4027 8.2604 1.9042
-5.8832 3.3369 1.4338
-1.0204 6.8373 -0.1135
-7.9832 9.3165 0.9832
-1.3261 4.2944 0.5513
-6.2655 4.7600 3.4516
-9.5231 11.2580 0.5358
-2.5660 5.1193 -1.4791
```

Calculated values
Volume in Å³ per atom: 15.3
D(E_F) in states/eV per cell: 8.9

***

13.
A plane-wave DFT calculation with PBE was carried out for TiZn6 after structural relaxation.

Cell and atoms, written as POSCAR:
```
TiZn6
1.0
4.0326 0.0000 1.3843
1.7787 3.6191 1.3843
-0.2919 -0.1818 7.4165
Ti Zn
1 6
Cartesian
0.0000 0.0000 0.0000
4.0951 2.5503 7.7682
2.0387 1.2696 7.1931
0.5833 0.3633 4.8667
4.9361 3.0741 5.3184
3.4808 2.1677 2.9919
1.4243 0.8870 2.4168
```

Calculated values
Volume in Å³ per atom: 15.8
ΔE to the lowest computed polymorph in eV/f.u.: 0.00
D(E_F) in states/eV per cell: 3.5

***

14.
A plane-wave DFT calculation with PBE was carried out for Ti5Zn after structural relaxation.

Cell and atoms, written as POSCAR:
```
Ti5Zn
1.0
4.0495 0.0000 0.0000
0.0000 4.0602 0.0000
0.0000 -2.0301 6.0692
Zn Ti
1 5
Cartesian
0.0000 0.0000 0.0000
0.0000 2.0301 2.0113
0.0000 0.0000 4.0579
2.0247 2.0301 0.0000
2.0247 0.0000 2.0318
2.0247 2.0301 4.0374
```

Calculated values
Volume in Å³ per atom: 16.6
ΔE to the lowest computed polymorph in eV/f.u.: 0.00
D(E_F) in states/eV per cell: 7.7

***

15.
A plane-wave DFT calculation with PBE was carried out for TiZn6 after structural relaxation.

Cell and atoms, written as POSCAR:
```
TiZn6
1.0
5.8455 0.0000 0.0000
-1.9485 5.5112 0.0000
-1.9485 -2.7556 4.7728
Ti Zn
1 6
Cartesian
0.0000 0.0000 0.0000
-0.9742 2.7556 2.3864
0.9742 3.4445 1.1932
-0.9742 0.6889 3.5796
2.9227 0.0000 2.3864
0.9742 -0.6889 3.5796
2.9227 2.0667 1.1932
```

Calculated values
Volume in Å³ per atom: 22.0
ΔE to the lowest computed polymorph in eV/f.u.: 5.57
D(E_F) in states/eV per cell: 6.9

***

16.
A plane-wave DFT calculation with PBE was carried out for TiZn4 after structural relaxation.

Cell and atoms, written as POSCAR:
```
TiZn4
1.0
2.6674 0.0000 0.0000
0.0000 3.7596 0.0000
-1.3337 -1.8798 7.5056
Ti Zn
1 4
Cartesian
0.0000 0.0000 0.0000
1.3337 1.8798 1.5887
0.0000 0.0000 2.9816
1.3337 1.8798 4.5240
0.0000 0.0000 5.9169
```

Calculated values
Volume in Å³ per atom: 15.1
ΔE to the lowest computed polymorph in eV/f.u.: 0.41
D(E_F) in states/eV per cell: 2.5

***

17.
A plane-wave DFT calculation with PBE was carried out for Ti6Zn23 after structural relaxation.

Cell and atoms, written as POSCAR:
```
Ti6Zn23
1.0
7.3957 0.0000 4.2699
2.4652 6.9727 4.2699
0.0000 0.0000 8.5398
Ti Zn
6 23
Cartesian
3.3242 5.7579 11.3219
6.5367 1.2148 5.7578
1.7180 1.2148 8.5398
8.1429 5.7579 8.5398
3.3242 5.7579 5.7578
6.5367 1.2148 11.3219
4.9305 3.4864 8.5398
3.6979 0.0000 2.1350
1.2326 3.4864 6.4049
4.9305 3.4864 4.2699
0.0000 0.0000 4.2699
3.6979 0.0000 6.4049
1.2326 3.4864 2.1350
2.5540 4.3266 8.5398
6.1187 4.3266 6.4817
4.9305 0.9657 8.5398
6.1187 4.3266 10.5979
3.7422 2.6462 10.5979
7.3070 2.6462 8.5398
4.9305 6.0070 8.5398
3.7422 2.6462 6.4817
5.6816 5.8356 12.8098
8.2528 5.8356 11.3252
7.3957 3.4114 12.8098
8.2528 5.8356 14.2943
1.6082 1.1371 5.7544
4.1794 1.1371 4.2699
2.4652 3.5613 4.2699
1.6082 1.1371 2.7854
```

Calculated values
Volume in Å³ per atom: 15.2
D(E_F) in states/eV per cell: 13.8

***

18.
A plane-wave DFT calculation with PBE was carried out for Ti3Zn5 after structural relaxation.

Cell and atoms, written as POSCAR:
```
Ti3Zn5
1.0
-2.0334 -0.0143 -3.6312
-3.3182 -1.6852 1.8629
0.1767 7.2897 2.2583
Ti Zn
3 5
Cartesian
-3.9294 2.3805 -0.1949
-2.6758 -0.8497 -0.8842
-1.2456 3.2097 0.6849
-1.6244 1.5589 -1.4815
0.0000 0.0000 0.0000
-3.5505 4.0314 1.9714
-2.2668 0.7235 1.2656
-2.9081 4.8668 -0.7757
```

Calculated values
Volume in Å³ per atom: 15.2
ΔE to the lowest computed polymorph in eV/f.u.: 0.00
D(E_F) in states/eV per cell: 4.6

***

19.
A plane-wave DFT calculation with PBE was carried out for Ti3Zn after structural relaxation.

Cell and atoms, written as POSCAR:
```
Ti3Zn
1.0
3.9477 -0.0001 -0.0002
-0.0001 3.9477 -0.0002
-1.9741 -1.9741 4.1659
Zn Ti
1 3
Cartesian
0.0000 0.0000 0.0000
-0.0004 1.9740 2.0827
1.9740 -0.0004 2.0827
1.9738 1.9738 -0.0002
```

Calculated values
Volume in Å³ per atom: 16.2
D(E_F) in states/eV per cell: 2.1

***

20.
A plane-wave DFT calculation with PBE was carried out for Ti2Zn after structural relaxation.

Cell and atoms, written as POSCAR:
```
Ti2Zn
1.0
5.8139 0.0059 -0.0032
4.2607 3.9558 -0.0031
-5.0382 -1.9812 2.1337
Zn Ti
1 2
Cartesian
0.0000 0.0000 0.0000
6.6964 2.6332 -0.0037
-1.6599 -0.6528 2.1310
```

Calculated values
Volume in Å³ per atom: 16.3
D(E_F) in states/eV per cell: 2.8

***

21.
A plane-wave DFT calculation with PBE was carried out for Ti3Zn after structural relaxation.

Cell and atoms, written as POSCAR:
```
Ti3Zn
1.0
4.0139 0.0000 0.0000
0.0000 4.0139 0.0000
0.0000 0.0000 4.0139
Zn Ti
1 3
Cartesian
0.0000 0.0000 0.0000
0.0000 2.0070 2.0070
2.0070 0.0000 2.0070
2.0070 2.0070 0.0000
```

Calculated values
Volume in Å³ per atom: 16.2
D(E_F) in states/eV per cell: 4.6

***

22.
A plane-wave DFT calculation with PBE was carried out for Ti3Zn7 after structural relaxation.

Cell and atoms, written as POSCAR:
```
Ti3Zn7
1.0
-3.1499 2.3030 -1.1495
-2.8040 -4.5481 -1.4283
0.1378 0.2660 7.3529
Ti Zn
3 7
Cartesian
0.0000 0.0000 0.0000
-3.4971 0.2553 2.8970
-2.3190 -2.2344 1.8782
-1.4020 -2.2740 -0.7141
-4.9427 -2.0420 2.2557
-0.8734 0.0629 2.5195
-2.7477 -0.0470 0.2377
-3.0685 -1.9321 4.5375
-4.2074 -2.3203 -0.3168
-1.6087 0.3412 5.0920
```

Calculated values
Volume in Å³ per atom: 15.1
D(E_F) in states/eV per cell: 5.1

***

23.
A plane-wave DFT calculation with PBE was carried out for Ti3Zn after structural relaxation.

Cell and atoms, written as POSCAR:
```
Ti3Zn
1.0
2.8573 0.0000 0.0000
0.0000 4.9473 0.0000
-1.4287 -2.4736 4.6499
Zn Ti
1 3
Cartesian
0.0000 0.0350 0.0000
0.0000 1.6876 2.4283
1.4287 2.3616 0.0000
1.4287 -0.7860 2.2216
```

Calculated values
Volume in Å³ per atom: 16.4
D(E_F) in states/eV per cell: 4.9

***

24.
A plane-wave DFT calculation with PBE was carried out for Ti3Zn4 after structural relaxation.

Cell and atoms, written as POSCAR:
```
Ti3Zn4
1.0
4.2104 0.0000 1.2550
1.9181 3.7480 1.2550
0.1842 0.1127 7.0722
Ti Zn
3 4
Cartesian
1.7890 1.0941 1.6882
4.5237 2.7666 7.8939
0.0000 0.0000 0.0000
3.5675 2.1818 3.4119
5.3507 3.2724 5.1193
0.9620 0.5883 4.4628
2.7453 1.6789 6.1702
```

Calculated values
Volume in Å³ per atom: 15.8
ΔE to the lowest computed polymorph in eV/f.u.: 0.90
D(E_F) in states/eV per cell: 6.3

***

The records above yield electronic total energy values of -7.54 -6.27 -3.23 -1.69 -6.80 -7.18 -6.83 -4.26 -2.73 -6.42 -5.33 -1.79 -2.30 -6.84 -1.51 -2.65 -2.75 -3.92 -6.34 -5.84 -6.35 -3.42 -6.30 -4.13 eV/atom, respectively.